(1)
Below is a crystal of CaPt2Au relaxed with PBEsol, with properties calculated at the meta-GGA SCAN level.

Values from the calculation:
Calculated formation energy, eV/atom: -0.4973
ρ, g/cm3: 15.0
Uncorrected energy, eV per atom: -55.30
V, Å³/atom: 17.32

Cell: 4.072 4.072 5.074 Å, 113.66 113.66 90.00°
Fractional positions:
1 Pt 0.750 0.250 0.500
2 Au 0.500 0.500 0.000
3 Ca 0.250 0.750 0.500
4 Pt 0.000 0.000 0.000



(2)
Below is a crystal of CaPtAu relaxed with PBEsol, with properties calculated at the meta-GGA SCAN level.

Values from the calculation:
Calculated formation energy, eV/atom: -0.7674
ρ, g/cm3: 11.3
Uncorrected energy, eV per atom: -50.44
V, Å³/atom: 21.10
Energy above the lowest structure with this stoichiometry, meV/atom: 0.0

Cell: 3.607 4.502 4.502 Å, 120.00 90.00 90.00°
Fractional positions:
1 Au 0.500 0.000 0.000
2 Pt 0.500 0.333 0.667
3 Ca 0.000 0.667 0.333



(3)
Below is a crystal of Rb3CaAu relaxed with PBEsol, with properties calculated at the meta-GGA SCAN level.

Values from the calculation:
Calculated formation energy, eV/atom: 0.6474
ρ, g/cm3: 1.9
Uncorrected energy, eV per atom: -27.56
V, Å³/atom: 88.33

Cell: 7.615 7.615 7.615 Å, 90.00 90.00 90.00°
Fractional positions:
1 Ca 0.000 0.000 0.000
2 Rb 0.000 0.500 0.000
3 Rb 0.000 0.000 0.500
4 Rb 0.500 0.000 0.000
5 Au 0.500 0.500 0.500



(4)
Below is a crystal of RbCaAu2 relaxed with PBEsol, with properties calculated at the meta-GGA SCAN level.

Values from the calculation:
Calculated formation energy, eV/atom: -0.4641
ρ, g/cm3: 8.2
Uncorrected energy, eV per atom: -42.64
V, Å³/atom: 26.38

Cell: 5.304 5.304 5.304 Å, 60.00 60.00 60.00°
Fractional positions:
1 Au 0.250 0.250 0.250
2 Au 0.750 0.750 0.750
3 Rb 0.500 0.500 0.500
4 Ca 0.000 0.000 0.000



(5)
Below is a crystal of RbCaSbAu2 relaxed with PBEsol, with properties calculated at the meta-GGA SCAN level.

Values from the calculation:
Energy relative to the elements, uncorrected, eV per formula unit: -0.2
ρ, g/cm3: 6.0
Uncorrected energy, eV per atom: -41.23
V, Å³/atom: 35.70

Cell: 5.535 5.535 5.827 Å, 90.00 90.00 90.00°
Fractional positions:
1 Sb 0.000 0.000 0.500
2 Ca 0.000 0.000 0.000
3 Au 0.000 0.500 0.000
4 Rb 0.500 0.500 0.500
5 Au 0.500 0.000 0.000



(6)
Below is a crystal of Ca2ReAu relaxed with PBEsol, with properties calculated at the meta-GGA SCAN level.

Values from the calculation:
Calculated formation energy, eV/atom: 0.4576
ρ, g/cm3: 9.3
Uncorrected energy, eV per atom: -39.44
V, Å³/atom: 20.73
Energy above the lowest structure with this stoichiometry, meV/atom: 198.9

Cell: 3.176 3.176 9.667 Å, 80.54 80.54 60.00°
Fractional positions:
1 Ca 0.751 0.751 0.747
2 Au 0.000 0.000 0.000
3 Re 0.500 0.500 0.500
4 Ca 0.249 0.249 0.253



(7)
Below is a crystal of Ca4ReAu relaxed with PBEsol, with properties calculated at the meta-GGA SCAN level.

Values from the calculation:
Calculated formation energy, eV/atom: 1.1178
ρ, g/cm3: 6.3
Uncorrected energy, eV per atom: -28.70
V, Å³/atom: 23.69

Cell: 5.858 5.858 5.858 Å, 60.00 60.00 60.00°
Fractional positions:
1 Ca 0.376 0.376 0.376
2 Ca 0.376 0.376 0.873
3 Ca 0.873 0.376 0.376
4 Ca 0.376 0.873 0.376
5 Au 0.000 0.000 0.000
6 Re 0.750 0.750 0.750



(8)
Below is a crystal of Ca2ReAu relaxed with PBEsol, with properties calculated at the meta-GGA SCAN level.

Values from the calculation:
Calculated formation energy, eV/atom: 0.2587
ρ, g/cm3: 9.5
Uncorrected energy, eV per atom: -39.64
V, Å³/atom: 20.33
Energy above the lowest structure with this stoichiometry, meV/atom: 0.0

Cell: 2.846 5.202 5.492 Å, 90.00 90.00 90.00°
Fractional positions:
1 Ca 0.000 0.000 0.060
2 Ca 0.000 0.500 0.686
3 Au 0.500 0.500 0.206
4 Re 0.500 0.000 0.549



(9)
Below is a crystal of Ca3ReAu relaxed with PBEsol, with properties calculated at the meta-GGA SCAN level.

Values from the calculation:
Calculated formation energy, eV/atom: 0.7212
ρ, g/cm3: 5.3
Uncorrected energy, eV per atom: -33.13
V, Å³/atom: 31.80

Cell: 5.418 5.418 5.418 Å, 90.00 90.00 90.00°
Fractional positions:
1 Ca 0.500 0.000 0.000
2 Ca 0.000 0.500 0.000
3 Re 0.500 0.500 0.500
4 Au 0.000 0.000 0.000
5 Ca 0.000 0.000 0.500



(10)
Below is a crystal of CaRh2Au2 relaxed with PBEsol, with properties calculated at the meta-GGA SCAN level.

Values from the calculation:
Calculated formation energy, eV/atom: -0.2247
ρ, g/cm3: 11.5
Uncorrected energy, eV per atom: -43.33
V, Å³/atom: 18.48
Energy above the lowest structure with this stoichiometry, meV/atom: 0.0

Cell: 3.741 3.741 7.111 Å, 105.25 105.25 90.00°
Fractional positions:
1 Ca 0.000 0.000 0.000
2 Au 0.399 0.399 0.798
3 Rh 0.250 0.750 0.500
4 Au 0.601 0.601 0.202
5 Rh 0.750 0.250 0.500



(11)
Below is a crystal of CaRh2Au2 relaxed with PBEsol, with properties calculated at the meta-GGA SCAN level.

Values from the calculation:
Calculated formation energy, eV/atom: -0.1389
ρ, g/cm3: 10.8
Uncorrected energy, eV per atom: -43.24
V, Å³/atom: 19.71
Energy above the lowest structure with this stoichiometry, meV/atom: 85.7

Cell: 4.560 4.560 5.733 Å, 113.44 113.44 90.00°
Fractional positions:
1 Rh 0.620 0.620 0.241
2 Au 0.250 0.750 0.500
3 Au 0.750 0.250 0.500
4 Rh 0.380 0.380 0.759
5 Ca 0.000 0.000 0.000



(12)
Below is a crystal of CaRhAu relaxed with PBEsol, with properties calculated at the meta-GGA SCAN level.

Values from the calculation:
Calculated formation energy, eV/atom: 0.0663
ρ, g/cm3: 10.4
Uncorrected energy, eV per atom: -37.46
V, Å³/atom: 18.13

Cell: 3.032 3.032 6.829 Å, 90.00 90.00 120.00°
Fractional positions:
1 Ca 0.667 0.333 0.651
2 Au 0.000 0.000 0.012
3 Rh 0.333 0.667 0.337